Here is a relaxed structure of Pr2Ho2Mg from Alexandria via LeMat-Bulk. Energies are from PBE-GGA.

Computed properties:
Electronic total energy, eV per atom: -4.064
Energy above the lowest structure with this stoichiometry, eV per atom: 0.0000
DFT formation energy, eV per formula unit: 0.0
Crystal system: orthorhombic

a b c (Å): 18.3411 6.1703 5.6438
angles (deg): 90.00 90.00 90.00
With the nearest neighbours (Å) after each atom.
Space group Cmcm (No. 63)
Asymmetric unit:
Pr1 0.0963 0.1914 0.2500  4 Mg 3.43-3.65, 3 Pr 3.53-3.68, 5 Ho 3.55-3.82
Ho1 0.2061 0.3350 0.7500  6 Ho 3.41-3.48, 5 Pr 3.55-3.82, 1 Mg 3.78
Mg1 0.0000 0.3259 0.7500  8 Pr 3.43-3.65, 2 Mg 3.55, 2 Ho 3.78